The following is a DFT calculation (GGA-PBE) of Tb2InHg after structural relaxation.

## Properties
- uncorrected energy (eV per atom) = -3.546
- mass density (g/cm³) = 9.859
- calculated volume (A^3/atom) = 26.66

a b c (Å): 5.3235 5.3235 5.3235
angles (deg): 59.99 59.99 59.99
Site moments in Bohr magnetons follow the coordinates.
Atoms (fractional coordinates):
Tb 0.5000 0.5000 0.5000  0.16
Tb 0.0000 0.0000 0.0000  0.16
Hg 0.2500 0.2500 0.2500  0.03
In 0.7500 0.7500 0.7500  -0.01